VASP calculation (GGA-PBE) on an optimized crystal structure of Nd6Os2AuBr3.

```
12
Lattice="-0.666 0.810 -7.206 4.048 -5.417 2.699 -7.408 -3.136 1.554" Properties=species:S:1:pos:R:3 pbc="T T T"
Nd -2.542 -7.107 -0.388
Br -2.013 -3.872 -1.476
Au 0.000 0.000 0.000
Os 0.906 -1.267 -3.903
Br -3.574 -1.810 -4.756
Nd -1.484 -0.637 -2.564
Nd 0.201 -2.862 0.975
Nd -4.954 -3.860 -0.069
Os 2.476 -3.341 -0.603
Nd 0.929 -3.883 -2.883
Nd -4.226 -4.882 -3.927
Br -0.452 -5.934 1.804
```

Raw formation energy in eV per atom: -0.83
Crystal system: monoclinic
Volume in Å³ per cell: 359.3